# 1
{"formula": "Li5Bi2P5O18", "functional": "PBE-GGA", "state": "relaxed", "lattice_angstrom": [[6.799, -0.030, 0.027], [-0.322, 9.561, -0.012], [-0.214, -1.466, 11.105]], "species": ["Li", "Li", "Li", "Li", "Li", "Li", "Li", "Li", "Li", "Li", "Bi", "Bi", "Bi", "Bi", "P", "P", "P", "P", "P", "P", "P", "P", "P", "P", "O", "O", "O", "O", "O", "O", "O", "O", "O", "O", "O", "O", "O", "O", "O", "O", "O", "O", "O", "O", "O", "O", "O", "O", "O", "O", "O", "O", "O", "O", "O", "O", "O", "O", "O", "O"], "frac_coords": [[0.003, 0.038, 0.864], [0.997, 0.962, 0.136], [0.172, 0.889, 0.645], [0.873, 0.777, 0.340], [0.399, 0.726, 0.405], [0.828, 0.111, 0.355], [0.127, 0.223, 0.660], [0.601, 0.274, 0.595], [0.333, 0.376, 0.847], [0.667, 0.624, 0.153], [0.343, 0.764, 0.939], [0.768, 0.636, 0.609], [0.232, 0.364, 0.391], [0.657, 0.236, 0.061], [0.267, 0.580, 0.653], [0.146, 0.578, 0.166], [0.826, 0.733, 0.912], [0.521, 0.931, 0.217], [0.221, 0.006, 0.402], [0.479, 0.069, 0.783], [0.174, 0.267, 0.088], [0.779, 0.994, 0.598], [0.733, 0.420, 0.347], [0.854, 0.422, 0.834], [0.254, 0.889, 0.478], [0.580, 0.973, 0.672], [0.363, 0.914, 0.115], [0.044, 0.973, 0.315], [0.956, 0.027, 0.685], [0.637, 0.086, 0.885], [0.420, 0.027, 0.328], [0.700, 0.025, 0.188], [0.746, 0.111, 0.522], [0.208, 0.154, 0.478], [0.419, 0.204, 0.735], [0.007, 0.160, 0.039], [0.034, 0.333, 0.825], [0.270, 0.232, 0.205], [0.704, 0.392, 0.931], [0.894, 0.308, 0.336], [0.339, 0.283, 0.998], [0.300, 0.975, 0.812], [0.574, 0.369, 0.433], [0.178, 0.433, 0.598], [0.064, 0.415, 0.117], [0.643, 0.434, 0.221], [0.357, 0.566, 0.779], [0.936, 0.585, 0.883], [0.822, 0.567, 0.402], [0.426, 0.631, 0.567], [0.251, 0.574, 0.288], [0.661, 0.717, 0.002], [0.106, 0.692, 0.664], [0.296, 0.608, 0.069], [0.730, 0.768, 0.795], [0.966, 0.667, 0.175], [0.993, 0.840, 0.961], [0.581, 0.796, 0.265], [0.792, 0.846, 0.522], [0.749, 0.426, 0.712]], "magmom_total_mub_per_cell": 0.00, "total_energy_ev_per_atom": -6.62, "mass_density_g_cm3": 4.12}

=====

# 2
{"formula": "ZrScHgPb", "functional": "PBE-GGA", "state": "relaxed", "lattice_angstrom": [[5.065, 0.000, 0.000], [2.532, 4.386, 0.000], [2.532, 1.462, 4.135]], "species": ["Pb", "Sc", "Hg", "Zr"], "frac_coords": [[0.750, 0.750, 0.750], [0.000, 0.000, 0.000], [0.250, 0.250, 0.250], [0.500, 0.500, 0.500]], "magmom_total_mub_per_cell": 0.37, "total_energy_ev_per_atom": -4.90, "delta_e_f_kj_per_mol_atoms": -17.4, "mass_density_g_cm3": 9.83}

=====

What did we get for DOS at the Fermi energy? Answer: 0.00, 1.20 states/eV per atom, in the order shown.